DFT (PBE) results for a geometry-optimized Si2NiPbW structure.

Cell: 5.1087 4.6619 5.1087 Å, 90.00 90.00 90.00°
Fractional positions:
W 0.5000 0.5000 0.5000
Pb 0.0000 0.0000 0.0000
Si 0.5000 0.0000 0.0000
Ni 0.0000 0.5000 0.0000
Si 0.0000 0.0000 0.5000

## Properties
* space-group type: P4/mmm (123)
* E_form (uncorrected): 216.2 kJ/mol of atoms